Entry 1:
A geometry-optimized Pr2P3PtRh12 structure, computed with PBE.

The structure belongs to space group R-3m (No. 166, hexagonal axes); the cell edges are 8.4760, 8.4760 and 15.4575 Å and the angles 90.00°, 90.00° and 120.00°. Symmetry generates all atoms from Pr at (0.0000, 0.0000, 0.1059), P at (0.0000, 0.5000, 0.0000), Pt at (0.0000, 0.0000, 0.5000), Rh at (0.0085, 0.5043, 0.8579) and Rh at (0.0558, 0.5279, 0.3582).

Its formation enthalpy at 0 K is -0.139 eV/atom. The value obtained for the total energy is -6.81 eV per atom.

Entry 2:
A geometry-optimized TiCrSbI2 structure, computed with PBE.

The structure belongs to space group P4/mmm (No. 123); the cell edges are 5.4288, 5.4288 and 5.5310 Å and the angles 90.00°, 90.00° and 90.00°. Symmetry generates all atoms from Ti at (0.0000, 0.0000, 0.0000), Cr at (0.5000, 0.5000, 0.5000), Sb at (0.0000, 0.0000, 0.5000) and I at (0.0000, 0.5000, 0.0000).

The calculation puts the energy above the most stable polymorph in this dataset at 0 meV per atom. As for the formation energy (no corrections): 0.421 eV per atom. The value obtained for the total energy is -4.53 eV per atom.

Entry 3:
A geometry-optimized NaPmCd2 structure, computed with PBE.

The structure belongs to space group P4/mmm (No. 123); the cell edges are 5.5775, 5.5775 and 3.5124 Å and the angles 90.00°, 90.00° and 90.00°. Symmetry generates all atoms from Na at (0.0000, 0.0000, 0.0000), Pm at (0.5000, 0.5000, 0.0000) and Cd at (0.0000, 0.5000, 0.5000).

The calculation puts the energy above the most stable polymorph in this dataset at 5 meV per atom. Its formation enthalpy at 0 K is -0.179 eV/atom. The value obtained for the total energy is -2.15 eV per atom.

Entry 4:
A geometry-optimized NaTiBeTe2 structure, computed with PBE.

The structure belongs to space group P4/mmm (No. 123); the cell edges are 5.2050, 5.2050 and 4.4934 Å and the angles 90.00°, 90.00° and 90.00°. Symmetry generates all atoms from Na at (0.0000, 0.0000, 0.0000), Ti at (0.5000, 0.5000, 0.0000), Be at (0.5000, 0.5000, 0.5000) and Te at (0.0000, 0.5000, 0.5000).

As for the formation energy (no corrections): 0.212 eV per atom. The value obtained for the total energy is -3.63 eV per atom.

Entry 5:
A geometry-optimized Si2RhCl structure, computed with PBE.

The structure belongs to space group P4/mmm (No. 123); the cell edges are 3.5734, 3.5734 and 5.0120 Å and the angles 90.00°, 90.00° and 90.00°. Symmetry generates all atoms from Si at (0.0000, 0.5000, 0.0000), Rh at (0.0000, 0.0000, 0.5000) and Cl at (0.5000, 0.5000, 0.5000).

The calculation puts the energy above the most stable polymorph in this dataset at 580 meV per atom. As for the formation energy (no corrections): 0.465 eV per atom. The value obtained for the total energy is -4.55 eV per atom.

Entry 6:
A geometry-optimized Pa3Ga5Sn structure, computed with PBE.

The structure belongs to space group P6_3/mcm (No. 193); the cell edges are 8.5894, 8.5894 and 6.1337 Å and the angles 90.00°, 90.00° and 120.00°. Symmetry generates all atoms from Pa at (0.0000, 0.3723, 0.2500), Ga at (0.0000, 0.2996, 0.7500), Ga at (0.3333, 0.6667, 0.0000) and Sn at (0.0000, 0.0000, 0.0000).

Its formation enthalpy at 0 K is -0.167 eV/atom. The value obtained for the total energy is -5.46 eV per atom.

Entry 7:
A geometry-optimized La2NdTl3 structure, computed with PBE.

The structure belongs to space group Cmcm (No. 63); the cell edges are 3.8499, 29.9763 and 6.8746 Å and the angles 90.00°, 90.00° and 90.00°. Symmetry generates all atoms from La at (0.0000, 0.0068, 0.2500), La at (0.0000, 0.1530, 0.7500), Nd at (0.0000, 0.3314, 0.7500), Tl at (0.0000, 0.2556, 0.2500) and Tl at (0.0000, 0.4227, 0.0118).

The calculation puts the energy above the most stable polymorph in this dataset at 153 meV per atom. Its formation enthalpy at 0 K is -0.261 eV/atom. The value obtained for the total energy is -3.88 eV per atom.

Entry 8:
A geometry-optimized MgB3F structure, computed with PBE.

The structure belongs to space group Pm-3m (No. 221); the cell edges are 4.4532, 4.4532 and 4.4532 Å and the angles 90.00°, 90.00° and 90.00°. Symmetry generates all atoms from Mg at (0.0000, 0.0000, 0.0000), B at (0.0000, 0.0000, 0.5000) and F at (0.5000, 0.5000, 0.5000).

The calculation puts the energy above the most stable polymorph in this dataset at 501 meV per atom. As for the formation energy (no corrections): 2.141 eV per atom. The value obtained for the total energy is -2.56 eV per atom.

Entry 9:
A geometry-optimized TcNiP structure, computed with PBE.

The structure belongs to space group P3m1 (No. 156); the cell edges are 3.8549, 3.8549 and 2.9243 Å and the angles 90.00°, 90.00° and 120.00°. Symmetry generates all atoms from Tc at (0.0000, 0.0000, 0.0000), Ni at (0.3333, 0.6667, 0.5216) and P at (0.6667, 0.3333, 0.6926).

The calculation puts the energy above the most stable polymorph in this dataset at 299 meV per atom. Its formation enthalpy at 0 K is -0.204 eV/atom. The value obtained for the total energy is -7.39 eV per atom.

Entry 10:
A geometry-optimized K2NbCl structure, computed with PBE.

The structure belongs to space group Fm-3m (No. 225); the cell edges are 8.3666, 8.3666 and 8.3666 Å and the angles 90.00°, 90.00° and 90.00°. Symmetry generates all atoms from K at (0.2500, 0.2500, 0.2500), Nb at (0.0000, 0.0000, 0.0000) and Cl at (0.0000, 0.0000, 0.5000).

The calculation puts the energy above the most stable polymorph in this dataset at 249 meV per atom. As for the formation energy (no corrections): 0.557 eV per atom. The value obtained for the total energy is -2.97 eV per atom.

Entry 11:
A geometry-optimized TaV3Sb structure, computed with PBE.

The structure belongs to space group Pm-3m (No. 221); the cell edges are 4.7102, 4.7102 and 4.7102 Å and the angles 90.00°, 90.00° and 90.00°. Symmetry generates all atoms from Ta at (0.0000, 0.0000, 0.0000), V at (0.0000, 0.5000, 0.5000) and Sb at (0.5000, 0.5000, 0.5000).

The calculation puts the energy above the most stable polymorph in this dataset at 310 meV per atom. As for the formation energy (no corrections): 1.592 eV per atom. The value obtained for the total energy is -7.07 eV per atom.

Entry 12:
A geometry-optimized K3CuF5 structure, computed with PBE.

The structure belongs to space group I4/mcm (No. 140); the cell edges are 7.1906, 7.1906 and 12.3891 Å and the angles 90.00°, 90.00° and 90.00°. Symmetry generates all atoms from K at (0.0000, 0.0000, 0.2500), K at (0.1740, 0.3260, 0.0000), Cu at (0.0000, 0.5000, 0.2500), F at (0.0000, 0.0000, 0.0000) and F at (0.1402, 0.3598, 0.3529).

The calculation puts the energy above the most stable polymorph in this dataset at 66 meV per atom. As for the formation energy (no corrections): -2.297 eV per atom. The value obtained for the total energy is -4.16 eV per atom.

Entry 13:
A geometry-optimized Ca2ReRh structure, computed with PBE.

The structure belongs to space group Pm (No. 6); the cell edges are 3.1155, 3.1293 and 9.2646 Å and the angles 90.00°, 90.27° and 90.00°. Symmetry generates all atoms from Ca at (0.0000, 0.0000, 0.0000), Ca at (0.4915, 0.5000, 0.3788), Re at (0.9944, 0.0000, 0.6183) and Rh at (0.4967, 0.5000, 0.7708).

Its formation enthalpy at 0 K is 0.213 eV/atom. The value obtained for the total energy is -5.74 eV per atom.

Entry 14:
A geometry-optimized ZrCu2P structure, computed with PBE.

The structure belongs to space group C2/m (No. 12); the cell edges are 5.2276, 9.8793 and 2.7945 Å and the angles 90.00°, 120.60° and 90.00°. Symmetry generates all atoms from Zr at (0.0000, 0.0000, 0.0000), Cu at (0.2500, 0.2500, 0.5000) and P at (0.0000, 0.5000, 0.0000).

Its formation enthalpy at 0 K is -0.145 eV/atom. The value obtained for the total energy is -5.68 eV per atom.

Entry 15:
A geometry-optimized Dy2Ga6Au structure, computed with PBE.

The structure belongs to space group Amm2 (No. 38); the cell edges are 3.5690, 4.3530 and 23.9226 Å and the angles 90.00°, 90.00° and 90.00°. Symmetry generates all atoms from Dy at (0.0000, 0.0000, 0.0000), Dy at (0.0000, 0.0000, 0.3378), Ga at (0.0000, 0.0000, 0.6411), Ga at (0.0000, 0.0000, 0.7495), Ga at (0.5000, 0.0000, 0.1198), Ga at (0.5000, 0.0000, 0.2278), Ga at (0.5000, 0.0000, 0.4446), Ga at (0.5000, 0.0000, 0.8857) and Au at (0.5000, 0.0000, 0.5542).

Its formation enthalpy at 0 K is -0.411 eV/atom. The value obtained for the total energy is -3.82 eV per atom.

Entry 16:
A geometry-optimized La3PmIr3 structure, computed with PBE.

The structure belongs to space group R-3 (No. 148, hexagonal axes); the cell edges are 8.7994, 8.7994 and 17.2755 Å and the angles 90.00°, 90.00° and 120.00°. Symmetry generates all atoms from La at (0.0193, 0.7317, 0.1006), Pm at (0.0000, 0.0000, 0.3249) and Ir at (0.0082, 0.6306, 0.9343).

Its formation enthalpy at 0 K is -0.659 eV/atom. The value obtained for the total energy is -7.25 eV per atom.

Entry 17:
A geometry-optimized BaPt2Au structure, computed with PBE.

The structure belongs to space group P4/mmm (No. 123); the cell edges are 4.4389, 4.4389 and 4.3756 Å and the angles 90.00°, 90.00° and 90.00°. Symmetry generates all atoms from Ba at (0.0000, 0.0000, 0.0000), Pt at (0.0000, 0.5000, 0.5000) and Au at (0.5000, 0.5000, 0.0000).

The calculation puts the energy above the most stable polymorph in this dataset at 393 meV per atom. Its formation enthalpy at 0 K is -0.156 eV/atom. The value obtained for the total energy is -4.48 eV per atom.

Entry 18:
A geometry-optimized MnFe2RhC structure, computed with PBE.

The structure belongs to space group P4/mmm (No. 123); the cell edges are 3.7457, 3.7457 and 3.7902 Å and the angles 90.00°, 90.00° and 90.00°. Symmetry generates all atoms from Mn at (0.0000, 0.0000, 0.0000), Fe at (0.0000, 0.5000, 0.5000), Rh at (0.5000, 0.5000, 0.0000) and C at (0.0000, 0.0000, 0.5000).

Its formation enthalpy at 0 K is 0.194 eV/atom. The value obtained for the total energy is -8.34 eV per atom.

Entry 19:
A geometry-optimized KTaAg2 structure, computed with PBE.

The structure belongs to space group C2/m (No. 12); the cell edges are 9.2177, 2.8082 and 7.5842 Å and the angles 90.00°, 94.06° and 90.00°. Symmetry generates all atoms from K at (0.0000, 0.0000, 0.0000), Ta at (0.0000, 0.5000, 0.5000) and Ag at (0.2431, 0.0000, 0.6764).

The calculation puts the energy above the most stable polymorph in this dataset at 128 meV per atom. Its formation enthalpy at 0 K is 0.607 eV/atom. The value obtained for the total energy is -4.06 eV per atom.

Entry 20:
A geometry-optimized CaHfSb2 structure, computed with PBE.

The structure belongs to space group R3m (No. 160, hexagonal axes); the cell edges are 4.2116, 4.2116 and 22.3141 Å and the angles 90.00°, 90.00° and 120.00°. Symmetry generates all atoms from Ca at (0.0000, 0.0000, 0.0000), Hf at (0.0000, 0.0000, 0.1699), Sb at (0.0000, 0.0000, 0.5755) and Sb at (0.0000, 0.0000, 0.7615).

The calculation puts the energy above the most stable polymorph in this dataset at 43 meV per atom. As for the formation energy (no corrections): -0.686 eV per atom. The value obtained for the total energy is -5.74 eV per atom.